A relaxed ScCdTc2 crystal, computed with PBE.

Cell lengths 9.6718, 9.6718, 9.6718 Å; angles 17.37, 17.37, 17.37 degrees
Sites, in units of the cell vectors:
Cd 0.5042 0.5042 0.5042
Tc 0.9947 0.9947 0.9947
Tc 0.2580 0.2580 0.2580
Sc 0.7432 0.7432 0.7432

Summary:
**Energy relative to the elements**: 0.141 eV per atom
**Calculated total energy**: -6.854 eV per atom
**Spin magnetization**: 0.000 μB/atom